Version P
This record from the Alexandria database describes Pu2GeSb after structural relaxation. The functional is PBE.

Structure (CIF):
```
data_Pu2GeSb
_cell_length_a 4.736
_cell_length_b 4.736
_cell_length_c 4.297
_cell_angle_alpha 90.00
_cell_angle_beta 90.00
_cell_angle_gamma 90.00
_space_group_name_H-M_alt 'P 4/m m m'
_space_group_IT_number 123
_space_group_name_Hall '-P 4 2'
loop_
_atom_site_label
_atom_site_fract_x
_atom_site_fract_y
_atom_site_fract_z
Pu1 0.000 0.500 0.000
Ge1 0.000 0.000 0.500
Sb1 0.500 0.500 0.500
```

Summary:
Magnetic moment: 11.5 μB per cell
Density of states at the Fermi level: 10.9 states/eV/cell

Version Q
This record from the Alexandria database describes Pu2GeSb after structural relaxation. The functional is PBE.

Structure (CIF):
```
data_Pu2GeSb
_cell_length_a 4.2892
_cell_length_b 4.2892
_cell_length_c 21.0662
_cell_angle_alpha 90.00
_cell_angle_beta 90.00
_cell_angle_gamma 120.00
_space_group_name_H-M_alt 'R -3 m'
_space_group_IT_number 166
_space_group_name_Hall '-R 3 2"'
loop_
_atom_site_label
_atom_site_fract_x
_atom_site_fract_y
_atom_site_fract_z
Pu1 0.0000 0.0000 0.2436
Ge1 0.0000 0.0000 0.5000
Sb1 0.0000 0.0000 0.0000
```

Summary:
Magnetic moment: 29.4 μB per cell
Density of states at the Fermi level: 71.2 states/eV/cell

Result of the stability comparison: version Q is the least stable of them.